Computed, not measured: a geometry-optimized ScCr2Se structure at the PBE level of DFT.

a b c (Å): 3.9363 3.9363 14.5132
angles (deg): 90.00 90.00 120.00
Space group R3m (No. 160, hexagonal axes)
Inequivalent atoms, fractional coordinates:
Sc (0.0000, 0.0000, 0.0000)
Cr (0.0000, 0.0000, 0.4836)
Cr (0.0000, 0.0000, 0.7917)
Se (0.0000, 0.0000, 0.2145)

As for the formation energy (no corrections): -0.55 eV/f.u.